Record 1
Compound: LiAcMg
Source: the Alexandria database
Functional: PBE-GGA
Structure: optimized geometry

Unit cell a=6.316 b=6.316 c=6.316 alpha=119.84 beta=119.75 gamma=90.36
Element x y z (fractional)
Li 0.500 0.000 0.000
Li 0.500 0.500 0.500
Ac 0.122 0.372 0.750
Ac 0.878 0.628 0.250
Mg 0.000 0.000 0.000
Mg 0.500 0.000 0.500

The calculation puts the offset from the most stable computed form at 0 meV/atom. The density comes out at 4.80 g/cm3. The total magnetization comes out at 0.00 μB per formula unit. Its space-group type is Imma (74). The total energy comes out at -2.5584 eV/atom. The calculated volume comes out at 178.7 Å³ per cell. Its calculated formation energy is -0.058 eV per formula unit.


Record 2
Compound: BaMn2Ni
Source: the Alexandria database
Functional: PBE-GGA
Structure: optimized geometry

Unit cell a=3.187 b=3.204 c=8.016 alpha=90.00 beta=90.00 gamma=90.00
Element x y z (fractional)
Ba 0.000 0.000 0.000
Mn 0.500 0.500 0.337
Mn 0.500 0.500 0.663
Ni 0.000 0.000 0.500

The calculation puts the offset from the most stable computed form at 250 meV/atom. The density comes out at 6.21 g/cm3. The total magnetization comes out at 8.38 μB per formula unit. Its space-group type is Pmmm (47). The total energy comes out at -6.0031 eV/atom. The calculated volume comes out at 81.8 Å³ per cell. Its calculated formation energy is 2.031 eV per formula unit.


Record 3
Compound: NaCa2ZnP
Source: the Alexandria database
Functional: PBE-GGA
Structure: optimized geometry

Unit cell a=5.516 b=5.516 c=4.992 alpha=90.00 beta=90.00 gamma=90.00
Element x y z (fractional)
Na 0.000 0.000 0.000
Ca 0.000 0.500 0.500
Ca 0.500 0.000 0.500
Zn 0.000 0.000 0.500
P 0.500 0.500 0.000

The density comes out at 2.18 g/cm3. The total magnetization comes out at 0.00 μB per formula unit. Its space-group type is P4/mmm (123). The total energy comes out at -2.1947 eV/atom. The calculated volume comes out at 151.9 Å³ per cell. Its calculated formation energy is 1.033 eV per formula unit.


Record 4
Compound: Np2UOs
Source: the Alexandria database
Functional: PBE-GGA
Structure: optimized geometry

Unit cell a=4.677 b=4.677 c=4.677 alpha=60.00 beta=60.00 gamma=60.00
Element x y z (fractional)
Np 0.250 0.250 0.250
Np 0.750 0.750 0.750
U 0.000 0.000 0.000
Os 0.500 0.500 0.500

The calculation puts the offset from the most stable computed form at 0 meV/atom. The density comes out at 20.71 g/cm3. The total magnetization comes out at 1.79 μB per formula unit. Its space-group type is Fm-3m (225). The total energy comes out at -11.9306 eV/atom. The calculated volume comes out at 72.3 Å³ per cell. Its calculated formation energy is 0.677 eV per formula unit.


Record 5
Compound: FeIrCl2
Source: the Alexandria database
Functional: PBE-GGA
Structure: optimized geometry

Unit cell a=3.386 b=3.386 c=8.503 alpha=100.47 beta=100.47 gamma=60.07
Element x y z (fractional)
Fe 0.000 0.000 0.000
Ir 0.615 0.615 0.830
Cl 0.221 0.221 0.635
Cl 0.390 0.390 0.188

The calculation puts the offset from the most stable computed form at 0 meV/atom. The density comes out at 6.41 g/cm3. The total magnetization comes out at 3.02 μB per formula unit. Its space-group type is Cm (8). The total energy comes out at -5.3259 eV/atom. As for the uncorrected formation energy: -0.072 eV/atom. The calculated volume comes out at 82.6 Å³ per cell.


Record 6
Compound: TePO5
Source: the Alexandria database
Functional: PBE-GGA
Structure: optimized geometry

Unit cell a=7.555 b=6.615 c=7.666 alpha=90.00 beta=90.00 gamma=90.00
Element x y z (fractional)
Te 0.131 0.250 0.245
Te 0.369 0.750 0.745
Te 0.631 0.250 0.255
Te 0.869 0.750 0.755
P 0.128 0.750 0.123
P 0.372 0.250 0.623
P 0.628 0.750 0.377
P 0.872 0.250 0.877
O 0.048 0.250 0.983
O 0.117 0.750 0.675
O 0.131 0.566 0.247
O 0.131 0.934 0.247
O 0.205 0.250 0.506
O 0.295 0.750 0.006
O 0.369 0.066 0.747
O 0.369 0.434 0.747
O 0.383 0.250 0.175
O 0.452 0.750 0.483
O 0.548 0.250 0.517
O 0.617 0.750 0.825
O 0.631 0.566 0.253
O 0.631 0.934 0.253
O 0.705 0.250 0.994
O 0.795 0.750 0.494
O 0.869 0.066 0.753
O 0.869 0.434 0.753
O 0.883 0.250 0.325
O 0.952 0.750 0.017

The density comes out at 4.14 g/cm3. The total magnetization comes out at 0.00 μB per formula unit. Its space-group type is Pnma (62). The total energy comes out at -6.2331 eV/atom. As for the uncorrected formation energy: -1.470 eV/atom. The calculated volume comes out at 383.1 Å³ per cell.